Ba3OsO7: optimized geometry, PBE.

Values from the calculation:
**Formation energy without anion corrections**: -21.886 eV/f.u.
**Calculated volume**: 364.2 Å³ per cell

```
22
Lattice="5.7624 0.0000 0.0000 0.0000 7.9497 0.0000 0.0000 0.0000 7.9497" Properties=species:S:1:pos:R:3 pbc="T T T"
Ba 2.8812 1.4739 5.4487
Ba 2.8812 5.4487 6.4758
Ba 2.8812 2.5010 1.4739
Ba 2.8812 6.4758 2.5010
Ba 0.0000 3.9749 3.9749
Ba 0.0000 0.0000 0.0000
Os 0.0000 0.0000 3.9749
Os 0.0000 3.9749 0.0000
O 4.4209 3.0502 7.0251
O 4.4209 4.8995 0.9247
O 4.4209 0.9247 3.0502
O 4.4209 7.0251 4.8995
O 1.3415 3.0502 7.0251
O 1.3415 7.0251 4.8995
O 1.3415 0.9247 3.0502
O 1.3415 4.8995 0.9247
O 2.8812 0.0000 0.0000
O 2.8812 3.9749 3.9749
O 0.0000 6.6204 2.6455
O 0.0000 2.6455 1.3293
O 0.0000 5.3042 6.6204
O 0.0000 1.3293 5.3042
```